Below is an optimized crystal structure of Ca4Np, with properties calculated at the PBE level.

Computed properties:
**Total moment**: 8.66 μB per cell
**Calculated formation energy**: 956 meV per atom
**Final energy**: -3.233 eV/atom
**Theoretical density**: 3.0 g cm⁻³
**Density of states at the Fermi level**: 14.200 states/eV/f.u.
**Crystal system**: cubic
**Volume**: 43.98 A^3/atom

a b c (Å): 6.036 6.036 6.036
angles (deg): 90.00 90.00 90.00
Fractional coordinates of all 5 atoms:
Np  0.500  0.500  0.500
Ca  0.000  0.000  0.000
Ca  0.500  0.500  0.000
Ca  0.000  0.500  0.500
Ca  0.500  0.000  0.500